Entry 1:
Material: NaLa2MgH
Method: DFT, PBE
State: relaxed

Calculated values
crystal system	tetragonal
distance to the lowest polymorph of the same formula	0	meV/atom

Unit cell a=5.238 b=5.238 c=4.708 alpha=90.00 beta=90.00 gamma=90.00
Element x y z (fractional)
Na 0.000 0.000 0.000
La 0.000 0.500 0.500
La 0.500 0.000 0.500
Mg 0.500 0.500 0.000
H 0.000 0.000 0.500

---

Entry 2:
Material: LaMg2NiH8
Method: DFT, PBE
State: relaxed

Calculated values
crystal system	triclinic
electronic total energy	-44.1	eV per formula unit

Unit cell a=4.340 b=4.525 c=6.058 alpha=71.56 beta=88.19 gamma=88.38
Element x y z (fractional)
La 0.000 0.000 0.000
Mg 0.493 0.609 0.714
Mg 0.507 0.391 0.286
Ni 0.000 0.500 0.500
H 0.018 0.587 0.790
H 0.239 0.216 0.602
H 0.250 0.754 0.379
H 0.494 0.230 0.019
H 0.506 0.770 0.981
H 0.750 0.246 0.621
H 0.761 0.784 0.398
H 0.982 0.413 0.210

---

Entry 3:
Material: La2MgNi3H12
Method: DFT, PBE
State: relaxed

Calculated values
crystal system	trigonal
electronic total energy	-74.0	eV per formula unit

Unit cell a=6.145 b=6.145 c=6.145 alpha=58.12 beta=58.12 gamma=58.12
Element x y z (fractional)
La 0.110 0.110 0.110
La 0.890 0.890 0.890
Mg 0.500 0.500 0.500
Ni 0.000 0.500 0.500
Ni 0.500 0.000 0.500
Ni 0.500 0.500 0.000
H 0.097 0.614 0.614
H 0.191 0.191 0.629
H 0.191 0.629 0.191
H 0.371 0.809 0.809
H 0.386 0.386 0.903
H 0.386 0.903 0.386
H 0.614 0.097 0.614
H 0.614 0.614 0.097
H 0.629 0.191 0.191
H 0.809 0.371 0.809
H 0.809 0.809 0.371
H 0.903 0.386 0.386

---

Entry 4:
Material: La2MgNiH
Method: DFT, PBE
State: relaxed

Calculated values
crystal system	tetragonal
electronic total energy	-21.5	eV per formula unit

Unit cell a=5.322 b=5.322 c=3.754 alpha=90.00 beta=90.00 gamma=90.00
Element x y z (fractional)
La 0.000 0.500 0.000
La 0.500 0.000 0.000
Mg 0.000 0.000 0.500
Ni 0.500 0.500 0.500
H 0.500 0.500 0.000